## HfRhSeN2 (PBE-GGA)

Data for a relaxed HfRhSeN2 crystal.

Output
- M_tot: 0.1484 μB per atom
- DOS(E_F): 1.3493 states/eV per atom
- Energy above the lowest structure with this stoichiometry: 0 meV per atom
- Calculated total energy: -6.852 eV per atom

Cell: 4.0341 4.0341 5.4702 Å, 90.00 90.00 90.00°
Closest atoms and distances in Å follow each position.
Fractional positions:
Hf: 0.0000 0.0000 0.0000  4 N 2.02
Rh: 0.5000 0.5000 0.5000  4 Se 2.85
Se: 0.0000 0.0000 0.5000  2 Hf 2.74, 4 Rh 2.85
N: 0.0000 0.5000 0.0000  2 Hf 2.02
N: 0.5000 0.0000 0.0000  2 Hf 2.02


## HfRhSeN2 (PBE-GGA)

Data for a relaxed HfRhSeN2 crystal.

Output
- M_tot: 0.0793 μB per atom
- DOS(E_F): 1.0230 states/eV per atom
- Energy above the lowest structure with this stoichiometry: 124 meV per atom
- Calculated total energy: -6.728 eV per atom

Cell: 3.9218 3.9218 4.8582 Å, 90.00 90.00 90.00°
Closest atoms and distances in Å follow each position.
Fractional positions:
Hf: 0.0000 0.0000 0.0000  4 Se 2.77
Rh: 0.5000 0.5000 0.5000  4 N 1.96
Se: 0.5000 0.5000 0.0000  2 Rh 2.43
N: 0.0000 0.5000 0.5000  2 Rh 1.96
N: 0.5000 0.0000 0.5000  2 Rh 1.96


## Hf2SiRhN (PBE-GGA)

Data for a relaxed Hf2SiRhN crystal.

Output
- M_tot: 0.0000 μB per atom
- DOS(E_F): 0.5877 states/eV per atom
- Calculated total energy: -8.899 eV per atom

Cell: 4.3988 4.3988 3.8688 Å, 90.00 90.00 90.00°
Closest atoms and distances in Å follow each position.
Fractional positions:
Hf: 0.0000 0.5000 0.0000  2 N 2.20
Hf: 0.5000 0.0000 0.0000  2 N 2.20
Si: 0.0000 0.0000 0.5000  2 N 1.93
Rh: 0.5000 0.5000 0.5000  8 Hf 2.93, 4 Si 3.11
N: 0.0000 0.0000 0.0000  2 Si 1.93


## Hf2TaRhN (PBE-GGA)

Data for a relaxed Hf2TaRhN crystal.

Output
- M_tot: 0.0003 μB per atom
- DOS(E_F): 0.7662 states/eV per atom
- Calculated total energy: -10.328 eV per atom

Cell: 4.3941 4.3941 4.1729 Å, 90.00 90.00 90.00°
Closest atoms and distances in Å follow each position.
Fractional positions:
Hf: 0.0000 0.5000 0.0000  2 N 2.20
Hf: 0.5000 0.0000 0.0000  2 N 2.20
Ta: 0.0000 0.0000 0.5000  2 N 2.09
Rh: 0.5000 0.5000 0.5000  8 Hf 3.03, 4 Ta 3.11
N: 0.0000 0.0000 0.0000  2 Ta 2.09, 4 Hf 2.20


## HfTeRhN2 (PBE-GGA)

Data for a relaxed HfTeRhN2 crystal.

Output
- M_tot: 0.1213 μB per atom
- DOS(E_F): 1.1732 states/eV per atom
- Energy above the lowest structure with this stoichiometry: 0 meV per atom
- Calculated total energy: -6.801 eV per atom

Cell: 4.0381 4.0381 6.0574 Å, 90.00 90.00 90.00°
Closest atoms and distances in Å follow each position.
Fractional positions:
Hf: 0.0000 0.0000 0.0000  4 N 2.02
Te: 0.0000 0.0000 0.5000  4 Rh 2.86, 2 Hf 3.03
Rh: 0.5000 0.5000 0.5000  4 Te 2.86
N: 0.0000 0.5000 0.0000  2 Hf 2.02
N: 0.5000 0.0000 0.0000  2 Hf 2.02


## HfTeRhN2 (PBE-GGA)

Data for a relaxed HfTeRhN2 crystal.

Output
- M_tot: 0.1166 μB per atom
- DOS(E_F): 0.9394 states/eV per atom
- Energy above the lowest structure with this stoichiometry: 421 meV per atom
- Calculated total energy: -6.380 eV per atom

Cell: 4.0199 4.0199 5.1747 Å, 90.00 90.00 90.00°
Closest atoms and distances in Å follow each position.
Fractional positions:
Hf: 0.0000 0.0000 0.0000  4 Te 2.84
Te: 0.5000 0.5000 0.0000  2 Rh 2.59, 4 Hf 2.84
Rh: 0.5000 0.5000 0.5000  4 N 2.01
N: 0.0000 0.5000 0.5000  2 Rh 2.01
N: 0.5000 0.0000 0.5000  2 Rh 2.01


## Hf2VRhN (PBE-GGA)

Data for a relaxed Hf2VRhN crystal.

Output
- M_tot: 0.2713 μB per atom
- DOS(E_F): 0.8444 states/eV per atom
- Calculated total energy: -9.883 eV per atom

Cell: 4.4496 4.4496 3.8361 Å, 90.00 90.00 90.00°
Closest atoms and distances in Å follow each position.
Fractional positions:
Hf: 0.0000 0.5000 0.0000  2 N 2.22
Hf: 0.5000 0.0000 0.0000  2 N 2.22
V: 0.0000 0.0000 0.5000  2 N 1.92
Rh: 0.5000 0.5000 0.5000  8 Hf 2.94, 4 V 3.15
N: 0.0000 0.0000 0.0000  2 V 1.92


## Hf7Ru2N2 (PBE-GGA)

Data for a relaxed Hf7Ru2N2 crystal.

Output
- M_tot: 0.0000 μB per atom
- DOS(E_F): 0.7955 states/eV per atom
- Calculated total energy: -10.026 eV per atom

Cell: 5.9312 5.9312 5.9930 Å, 90.05 90.05 67.62°
Closest atoms and distances in Å follow each position.
Fractional positions:
Hf: 0.0000 0.0000 0.0000  2 N 2.33
Hf: 0.0000 0.5001 0.2433  2 N 2.21
Hf: 0.0000 0.4999 0.7567  2 N 2.21
Hf: 0.5001 0.0000 0.2433  2 N 2.21
Hf: 0.4999 0.0000 0.7567  2 N 2.21
Hf: 0.5000 0.5000 0.2463  2 Ru 2.57
Hf: 0.5000 0.5000 0.7537  2 Ru 2.57
Ru: 0.1860 0.8140 0.5000  1 Ru 2.46, 2 Hf 2.57
Ru: 0.8140 0.1860 0.5000  1 Ru 2.46, 2 Hf 2.57
N: 0.2361 0.2361 0.0000  5 Hf 2.21-2.33
N: 0.7639 0.7639 0.0000  5 Hf 2.21-2.33


## HfRuN3 (PBE-GGA)

Data for a relaxed HfRuN3 crystal.

Output
- M_tot: 0.0000 μB per atom
- DOS(E_F): 0.7022 states/eV per atom
- Calculated total energy: -8.353 eV per atom

Cell: 3.8200 3.8200 3.8200 Å, 90.00 90.00 90.00°
Closest atoms and distances in Å follow each position.
Fractional positions:
Hf: 0.0000 0.0000 0.0000  12 N 2.70
Ru: 0.5000 0.5000 0.5000  6 N 1.91
N: 0.0000 0.5000 0.5000  2 Ru 1.91
N: 0.5000 0.0000 0.5000  2 Ru 1.91
N: 0.5000 0.5000 0.0000  2 Ru 1.91


## Hf8Ru2N3 (PBE-GGA)

Data for a relaxed Hf8Ru2N3 crystal.

Output
- M_tot: 0.0000 μB per atom
- DOS(E_F): 0.5612 states/eV per atom
- Calculated total energy: -10.214 eV per atom

Cell: 7.0512 7.0512 5.8857 Å, 105.12 105.12 54.46°
Closest atoms and distances in Å follow each position.
Fractional positions:
Hf: 0.1064 0.1064 0.8997  3 N 2.21-2.34
Hf: 0.1377 0.6525 0.6048  2 N 2.24-2.31
Hf: 0.3475 0.8623 0.3952  2 N 2.24-2.31
Hf: 0.3903 0.3903 0.0457  2 N 2.26
Hf: 0.6097 0.6097 0.9543  2 N 2.26
Hf: 0.6525 0.1377 0.6048  2 N 2.24-2.31
Hf: 0.8623 0.3475 0.3952  2 N 2.24-2.31
Hf: 0.8936 0.8936 0.1003  3 N 2.21-2.34
Ru: 0.2595 0.2595 0.3064  6 Hf 2.55-2.66
Ru: 0.7405 0.7405 0.6936  6 Hf 2.55-2.66
N: 0.0000 0.0000 0.5000  6 Hf 2.24-2.34
N: 0.2348 0.7652 0.0000  6 Hf 2.21-2.31
N: 0.7652 0.2348 0.0000  6 Hf 2.21-2.31


## Hf6Ru2N (PBE-GGA)

Data for a relaxed Hf6Ru2N crystal.

Output
- M_tot: 0.0000 μB per atom
- DOS(E_F): 0.7852 states/eV per atom
- Calculated total energy: -10.258 eV per atom

Cell: 5.9236 6.3316 10.5410 Å, 90.00 121.82 90.00°
Closest atoms and distances in Å follow each position.
Fractional positions:
Hf: 0.1291 0.0266 0.2435  1 N 2.26
Hf: 0.1291 0.4734 0.7435  1 N 2.26
Hf: 0.2306 0.6865 0.0527  1 N 2.30
Hf: 0.2306 0.8135 0.5527  1 N 2.30
Hf: 0.3653 0.1812 0.0522  1 N 2.25
Hf: 0.3653 0.3188 0.5522  1 N 2.25
Hf: 0.6347 0.6812 0.4478  1 N 2.25
Hf: 0.6347 0.8188 0.9478  1 N 2.25
Hf: 0.7694 0.1865 0.4473  1 N 2.30
Hf: 0.7694 0.3135 0.9473  1 N 2.30
Hf: 0.8709 0.5266 0.2565  1 N 2.26
Hf: 0.8709 0.9734 0.7565  1 N 2.26
Ru: 0.3107 0.0993 0.7603  6 Hf 2.57-2.76
Ru: 0.3107 0.4007 0.2603  6 Hf 2.57-2.76
Ru: 0.6893 0.5993 0.7397  6 Hf 2.57-2.76
Ru: 0.6893 0.9007 0.2397  6 Hf 2.57-2.76
N: 0.0000 0.0000 0.0000  6 Hf 2.25-2.30
N: 0.0000 0.5000 0.5000  6 Hf 2.25-2.30


## Hf6RuN (PBE-GGA)

Data for a relaxed Hf6RuN crystal.

Output
- M_tot: 0.0000 μB per atom
- DOS(E_F): 0.5190 states/eV per atom
- Calculated total energy: -10.268 eV per atom

Cell: 5.0203 5.6913 5.8105 Å, 97.23 113.68 91.39°
Closest atoms and distances in Å follow each position.
Fractional positions:
Hf: 0.0617 0.2894 0.1573  1 N 2.33
Hf: 0.2384 0.8291 0.4847  1 N 2.23
Hf: 0.3909 0.3644 0.7591  1 N 2.17
Hf: 0.6091 0.6356 0.2409  1 N 2.17
Hf: 0.7616 0.1709 0.5153  1 N 2.23
Hf: 0.9383 0.7106 0.8427  1 N 2.33
Ru: 0.5000 0.0000 0.0000  4 Hf 2.59-2.77
N: 0.0000 0.5000 0.5000  6 Hf 2.17-2.33


- What is the calculated total energy in the second record?
  -6.728 eV per atom